Entry 1:
# AcMg3Zn (GGA-PBE, relaxed)
data_AcMg3Zn
_space_group_name_H-M_alt 'C m c m'
_space_group_IT_number 63
_space_group_name_Hall '-C 2c 2'
_cell_length_a 7.1434
_cell_length_b 11.3045
_cell_length_c 6.6139
_cell_angle_alpha 90.00
_cell_angle_beta 90.00
_cell_angle_gamma 90.00
loop_
_atom_site_label
_atom_site_type_symbol
_atom_site_fract_x
_atom_site_fract_y
_atom_site_fract_z
_atom_site_occupancy
Ac1 Ac 0.0000 0.2307 0.2500 1
Mg1 Mg 0.0000 0.1135 0.7500 1
Mg2 Mg 0.2045 0.5000 0.0000 1
Zn1 Zn 0.0000 0.3478 0.7500 1
# Relative energy among the computed polymorphs ... 0 meV per atom
# Formation energy from the elements ... -0.104 eV/atom
# Electronic total energy ... -42.752 eV/cell

=====

Entry 2:
# AcMgZn2 (GGA-PBE, relaxed)
data_AcMgZn2
_space_group_name_H-M_alt 'F m -3 m'
_space_group_IT_number 225
_space_group_name_Hall '-F 4 2 3'
_cell_length_a 7.3115
_cell_length_b 7.3115
_cell_length_c 7.3115
_cell_angle_alpha 90.00
_cell_angle_beta 90.00
_cell_angle_gamma 90.00
loop_
_atom_site_label
_atom_site_type_symbol
_atom_site_fract_x
_atom_site_fract_y
_atom_site_fract_z
_atom_site_occupancy
Ac1 Ac 0.0000 0.0000 0.0000 1
Mg1 Mg 0.0000 0.0000 0.5000 1
Zn1 Zn 0.2500 0.2500 0.2500 1
# Formation energy from the elements ... -0.241 eV/atom
# Electronic total energy ... -36.856 eV/cell

=====

Entry 3:
# Ac2Mg5Zn5 (GGA-PBE, relaxed)
data_Ac2Mg5Zn5
_space_group_name_H-M_alt 'P m m m'
_space_group_IT_number 47
_cell_length_a 4.5579
_cell_length_b 6.0753
_cell_length_c 9.9375
_cell_angle_alpha 90.00
_cell_angle_beta 90.00
_cell_angle_gamma 90.00
loop_
_space_group_symop_operation_xyz
'x,y,z'
'-x,-y,-z'
'-x,-y,z'
'x,y,-z'
'x,-y,-z'
'-x,y,z'
'-x,y,-z'
'x,-y,z'
loop_
_atom_site_label
_atom_site_type_symbol
_atom_site_fract_x
_atom_site_fract_y
_atom_site_fract_z
_atom_site_occupancy
Ac1 Ac 0.0000 0.0000 0.0000 1
Ac2 Ac 0.0000 0.5000 0.5000 1
Mg1 Mg 0.5000 0.0000 0.5000 1
Mg2 Mg 0.5000 0.2527 0.2411 1
Zn1 Zn 0.0000 0.0000 0.3341 1
Zn2 Zn 0.0000 0.5000 0.1493 1
Zn3 Zn 0.5000 0.5000 0.0000 1
# Formation energy from the elements ... -0.203 eV/atom
# Electronic total energy ... -24.993 eV/cell

=====

Entry 4:
# Ac2MgZn10 (GGA-PBE, relaxed)
data_Ac2MgZn10
_space_group_name_H-M_alt 'P b a m'
_space_group_IT_number 55
_cell_length_a 6.3597
_cell_length_b 16.1713
_cell_length_c 5.6576
_cell_angle_alpha 90.00
_cell_angle_beta 90.00
_cell_angle_gamma 90.00
loop_
_space_group_symop_operation_xyz
'x,y,z'
'-x,-y,-z'
'-x,-y,z'
'x,y,-z'
'x+1/2,-y+1/2,-z'
'-x+1/2,y+1/2,z'
'-x+1/2,y+1/2,-z'
'x+1/2,-y+1/2,z'
loop_
_atom_site_label
_atom_site_type_symbol
_atom_site_fract_x
_atom_site_fract_y
_atom_site_fract_z
_atom_site_occupancy
Ac1 Ac 0.2044 0.1412 0.0000 1
Mg1 Mg 0.0000 0.0000 0.5000 1
Zn1 Zn 0.0447 0.8401 0.5000 1
Zn2 Zn 0.0609 0.3009 0.5000 1
Zn3 Zn 0.1289 0.5632 0.5000 1
Zn4 Zn 0.1958 0.4251 0.2162 1
# Formation energy from the elements ... -0.066 eV/atom
# Electronic total energy ... -46.819 eV/cell

=====

Entry 5:
# Ac2Mg2Zn15 (GGA-PBE, relaxed)
data_Ac2Mg2Zn15
_space_group_name_H-M_alt 'R -3 m'
_space_group_IT_number 166
_space_group_name_Hall '-R 3 2"'
_cell_length_a 9.3224
_cell_length_b 9.3224
_cell_length_c 13.7667
_cell_angle_alpha 90.00
_cell_angle_beta 90.00
_cell_angle_gamma 120.00
loop_
_atom_site_label
_atom_site_type_symbol
_atom_site_fract_x
_atom_site_fract_y
_atom_site_fract_z
_atom_site_occupancy
Ac1 Ac 0.0000 0.0000 0.1580 1
Mg1 Mg 0.0000 0.0000 0.3982 1
Zn1 Zn 0.0000 0.2866 0.5000 1
Zn2 Zn 0.0000 0.5000 0.0000 1
Zn3 Zn 0.0054 0.5027 0.6532 1
# Formation energy from the elements ... -0.230 eV/atom
# Electronic total energy ... -104.629 eV/cell

=====

Entry 6:
# AcMg2Zn9 (GGA-PBE, relaxed)
data_AcMg2Zn9
_space_group_name_H-M_alt 'R -3 m'
_space_group_IT_number 166
_space_group_name_Hall '-R 3 2"'
_cell_length_a 5.4581
_cell_length_b 5.4581
_cell_length_c 25.3876
_cell_angle_alpha 90.00
_cell_angle_beta 90.00
_cell_angle_gamma 120.00
loop_
_atom_site_label
_atom_site_type_symbol
_atom_site_fract_x
_atom_site_fract_y
_atom_site_fract_z
_atom_site_occupancy
Ac1 Ac 0.0000 0.0000 0.0000 1
Mg1 Mg 0.0000 0.0000 0.1429 1
Zn1 Zn 0.0000 0.0000 0.3344 1
Zn2 Zn 0.0000 0.0000 0.5000 1
Zn3 Zn 0.0078 0.5039 0.9131 1
# Formation energy from the elements ... -0.173 eV/atom
# Electronic total energy ... -62.534 eV/cell

=====

Entry 7:
# AcMg10Zn2 (GGA-PBE, relaxed)
data_AcMg10Zn2
_space_group_name_H-M_alt 'P -1'
_space_group_IT_number 2
_cell_length_a 5.8644
_cell_length_b 7.7184
_cell_length_c 7.7263
_cell_angle_alpha 81.90
_cell_angle_beta 67.81
_cell_angle_gamma 68.00
loop_
_space_group_symop_operation_xyz
'x,y,z'
'-x,-y,-z'
loop_
_atom_site_label
_atom_site_type_symbol
_atom_site_fract_x
_atom_site_fract_y
_atom_site_fract_z
_atom_site_occupancy
Ac1 Ac 0.0000 0.0000 0.0000 1
Mg1 Mg 0.0000 0.5000 0.0000 1
Mg2 Mg 0.0123 0.3398 0.6378 1
Mg3 Mg 0.2812 0.2099 0.2276 1
Mg4 Mg 0.3498 0.6601 0.6380 1
Mg5 Mg 0.4911 0.7903 0.2280 1
Mg6 Mg 0.5000 0.5000 0.0000 1
Zn1 Zn 0.0000 0.0000 0.5000 1
Zn2 Zn 0.5000 0.0000 0.5000 1
# Formation energy from the elements ... -0.098 eV/atom
# Electronic total energy ... -23.882 eV/cell

=====

Entry 8:
# Ac2Mg3Zn2 (GGA-PBE, relaxed)
data_Ac2Mg3Zn2
_space_group_name_H-M_alt 'C 1 2/m 1'
_space_group_IT_number 12
_cell_length_a 11.4752
_cell_length_b 4.6233
_cell_length_c 8.0588
_cell_angle_alpha 90.00
_cell_angle_beta 116.83
_cell_angle_gamma 90.00
loop_
_space_group_symop_operation_xyz
'x,y,z'
'-x,-y,-z'
'-x,y,-z'
'x,-y,z'
'x+1/2,y+1/2,z'
'-x+1/2,-y+1/2,-z'
'-x+1/2,y+1/2,-z'
'x+1/2,-y+1/2,z'
loop_
_atom_site_label
_atom_site_type_symbol
_atom_site_fract_x
_atom_site_fract_y
_atom_site_fract_z
_atom_site_occupancy
Ac1 Ac 0.1351 0.0000 0.2779 1
Mg1 Mg 0.0000 0.5000 0.5000 1
Mg2 Mg 0.1383 0.5000 0.9327 1
Zn1 Zn 0.1490 0.0000 0.7019 1
# Relative energy among the computed polymorphs ... 0 meV per atom
# Formation energy from the elements ... -0.183 eV/atom
# Electronic total energy ... -33.660 eV/cell